## Sc3Hg (GGA-PBEsol)

Data for an optimized crystal structure of Sc3Hg.

Unit cell a=4.9514 b=5.6761 c=6.1065 alpha=90.00 beta=90.00 gamma=90.00
With the nearest neighbours (Å) after each atom.
Fractional positions:
Sc: 0.5000 0.8515 0.2451  8 Sc 2.99-3.32, 4 Hg 3.08-3.32
Sc: 0.0000 0.1485 0.2549  8 Sc 2.99-3.32, 4 Hg 3.08-3.32
Sc: 0.0000 0.1485 0.7451  8 Sc 2.99-3.32, 4 Hg 3.08-3.32
Sc: 0.0000 0.6271 0.5000  4 Hg 2.98-3.06, 8 Sc 3.10-3.32
Sc: 0.5000 0.8515 0.7549  8 Sc 2.99-3.32, 4 Hg 3.08-3.32
Sc: 0.5000 0.3729 0.0000  4 Hg 2.98-3.06, 8 Sc 3.10-3.32
Hg: 0.0000 0.6651 0.0000  12 Sc 2.98-3.32
Hg: 0.5000 0.3349 0.5000  12 Sc 2.98-3.32

Computed properties:
* symmetry: No. 59
* total magnetic moment: 0.0 μB/f.u.
* energy: -5.35 eV/atom
* energy of formation: -24 kJ per mole of atoms